1.
Below is LaTiTe2 after structural relaxation, with properties calculated at the PBE level.

abc: 7.463 7.463 7.463
angles: 90.00 90.00 90.00
Fractional coordinates of all 16 atoms:
La (0.000, 0.000, 0.000)
La (0.000, 0.500, 0.500)
La (0.500, 0.000, 0.500)
La (0.500, 0.500, 0.000)
Ti (0.000, 0.000, 0.500)
Ti (0.000, 0.500, 0.000)
Ti (0.500, 0.000, 0.000)
Ti (0.500, 0.500, 0.500)
Te (0.250, 0.250, 0.250)
Te (0.250, 0.250, 0.750)
Te (0.250, 0.750, 0.250)
Te (0.250, 0.750, 0.750)
Te (0.750, 0.250, 0.250)
Te (0.750, 0.250, 0.750)
Te (0.750, 0.750, 0.250)
Te (0.750, 0.750, 0.750)

Summary:
Offset from the most stable computed form, meV per atom: 151
Electronic total energy, eV for the cell shown: -89.643
E_form (uncorrected), eV per atom: -0.8262
SG: No. 225
Spin magnetization, μB per formula unit: 1.0

***

2.
Below is LaTiTe2 after structural relaxation, with properties calculated at the PBE level.

abc: 4.428 4.428 20.075
angles: 90.00 90.00 120.00
Fractional coordinates of all 12 atoms:
La (0.000, 0.000, 0.000)
La (0.333, 0.667, 0.667)
La (0.667, 0.333, 0.333)
Ti (0.000, 0.000, 0.500)
Ti (0.333, 0.667, 0.167)
Ti (0.667, 0.333, 0.833)
Te (0.000, 0.000, 0.236)
Te (0.000, 0.000, 0.764)
Te (0.333, 0.667, 0.430)
Te (0.333, 0.667, 0.903)
Te (0.667, 0.333, 0.097)
Te (0.667, 0.333, 0.570)

Summary:
Offset from the most stable computed form, meV per atom: 0
Electronic total energy, eV for the cell shown: -69.039
E_form (uncorrected), eV per atom: -0.9769
SG: No. 166
Spin magnetization, μB per formula unit: 1.8

***

3.
Below is LaTi3Te after structural relaxation, with properties calculated at the PBE level.

abc: 4.865 4.865 4.865
angles: 90.00 90.00 90.00
Fractional coordinates of all 5 atoms:
La (0.000, 0.000, 0.000)
Ti (0.000, 0.000, 0.500)
Ti (0.000, 0.500, 0.000)
Ti (0.500, 0.000, 0.000)
Te (0.500, 0.500, 0.500)

Summary:
Offset from the most stable computed form, meV per atom: 697
Electronic total energy, eV for the cell shown: -26.157
E_form (uncorrected), eV per atom: 1.1193
SG: No. 221
Spin magnetization, μB per formula unit: 0.0

***

4.
Below is LaTi2Te2 after structural relaxation, with properties calculated at the PBE level.

abc: 8.041 8.041 3.582
angles: 90.00 90.00 90.00
Fractional coordinates of all 10 atoms:
La (0.000, 0.000, 0.000)
La (0.500, 0.500, 0.000)
Ti (0.120, 0.380, 0.000)
Ti (0.380, 0.880, 0.000)
Ti (0.620, 0.120, 0.000)
Ti (0.880, 0.620, 0.000)
Te (0.167, 0.667, 0.500)
Te (0.333, 0.167, 0.500)
Te (0.667, 0.833, 0.500)
Te (0.833, 0.333, 0.500)

Summary:
Offset from the most stable computed form, meV per atom: 404
Electronic total energy, eV for the cell shown: -58.196
E_form (uncorrected), eV per atom: -0.4195
SG: No. 127
Spin magnetization, μB per formula unit: 0.5

***

5.
Below is LaTiTe2 after structural relaxation, with properties calculated at the PBE level.

abc: 6.384 6.384 15.074
angles: 90.00 90.00 90.00
Fractional coordinates of all 16 atoms:
La (0.000, 0.000, 0.000)
La (0.000, 0.500, 0.250)
La (0.500, 0.000, 0.750)
La (0.500, 0.500, 0.500)
Ti (0.000, 0.000, 0.500)
Ti (0.000, 0.500, 0.750)
Ti (0.500, 0.000, 0.250)
Ti (0.500, 0.500, 0.000)
Te (0.195, 0.250, 0.625)
Te (0.250, 0.695, 0.875)
Te (0.250, 0.805, 0.375)
Te (0.305, 0.250, 0.125)
Te (0.695, 0.750, 0.125)
Te (0.750, 0.195, 0.375)
Te (0.750, 0.305, 0.875)
Te (0.805, 0.750, 0.625)

Summary:
Offset from the most stable computed form, meV per atom: 373
Electronic total energy, eV for the cell shown: -86.082
E_form (uncorrected), eV per atom: -0.6037
SG: No. 122
Spin magnetization, μB per formula unit: 2.9

***

6.
Below is LaTiTe2W after structural relaxation, with properties calculated at the PBE level.

abc: 5.968 5.968 5.123
angles: 90.00 90.00 90.00
Fractional coordinates of all 5 atoms:
La (0.000, 0.000, 0.000)
Ti (0.000, 0.000, 0.500)
Te (0.000, 0.500, 0.000)
Te (0.500, 0.000, 0.000)
W (0.500, 0.500, 0.500)

Summary:
Electronic total energy, eV for the cell shown: -23.397
E_form (uncorrected), eV per atom: 1.7324
SG: No. 123
Spin magnetization, μB per formula unit: 2.4

***

7.
Below is LaZr2TiTe after structural relaxation, with properties calculated at the PBE level.

abc: 5.287 5.287 5.808
angles: 90.00 90.00 90.00
Fractional coordinates of all 5 atoms:
La (0.000, 0.000, 0.000)
Zr (0.000, 0.500, 0.500)
Zr (0.500, 0.000, 0.500)
Ti (0.500, 0.500, 0.000)
Te (0.000, 0.000, 0.500)

Summary:
Offset from the most stable computed form, meV per atom: 292
Electronic total energy, eV for the cell shown: -29.790
E_form (uncorrected), eV per atom: 0.6541
SG: No. 123
Spin magnetization, μB per formula unit: 0.0

***

8.
Below is LaZr2TiTe after structural relaxation, with properties calculated at the PBE level.

abc: 4.911 4.911 5.841
angles: 90.00 90.00 90.00
Fractional coordinates of all 5 atoms:
La (0.000, 0.000, 0.000)
Zr (0.000, 0.500, 0.500)
Zr (0.500, 0.000, 0.500)
Ti (0.000, 0.000, 0.500)
Te (0.500, 0.500, 0.000)

Summary:
Offset from the most stable computed form, meV per atom: 0
Electronic total energy, eV for the cell shown: -31.250
E_form (uncorrected), eV per atom: 0.3620
SG: No. 123
Spin magnetization, μB per formula unit: 0.6